(1)
Here is crystalline BaCa2Si at its relaxed geometry from Alexandria. Energies are from PBE-GGA.

a = 9.7372 Å, b = 9.7372 Å, c = 7.6892 Å
α = 50.72°, β = 50.72°, γ = 90.00°
Last column: nearest neighbours and their distance in Å.
Atoms (fractional coordinates):
Si  0.5000  0.5000  0.0000  4 Ca 2.96
Si  0.2500  0.7500  0.5000  4 Ca 2.96
Ca  0.8750  0.7734  0.7500  2 Si 2.96
Ca  0.3750  0.4766  0.7500  2 Si 2.96
Ca  0.2266  0.6250  0.2500  2 Si 2.96
Ca  0.5234  0.1250  0.2500  2 Si 2.96
Ba  0.7500  0.2500  0.5000  2 Si 3.42, 4 Ca 3.82
Ba  0.0000  0.0000  0.0000  2 Si 3.42, 4 Ca 3.82

Results
**Calculated volume**: 40.6 Å³/atom
**Space-group type**: I-42d
**N(E_F)**: 0.370 states/eV/atom
**Distance to the lowest polymorph of the same formula**: 120 meV/atom
**Energy**: -2.88 eV/atom

(2)
Here is crystalline BaCa2Si at its relaxed geometry from Alexandria. Energies are from PBE-GGA.

a = 9.0386 Å, b = 9.0386 Å, c = 9.0386 Å
α = 30.49°, β = 30.49°, γ = 30.49°
Last column: nearest neighbours and their distance in Å.
Atoms (fractional coordinates):
Ca  0.9612  0.9612  0.9612  3 Si 2.98
Ca  0.5388  0.5388  0.5388  3 Si 2.98
Si  0.2500  0.2500  0.2500  6 Ca 2.98
Ba  0.7500  0.7500  0.7500  6 Ca 4.18

Results
**Calculated volume**: 42.1 Å³/atom
**Space-group type**: R-3m
**N(E_F)**: 0.421 states/eV/atom
**Distance to the lowest polymorph of the same formula**: 48 meV/atom
**Energy**: -2.95 eV/atom

(3)
Here is crystalline Ba4CaSi at its relaxed geometry from Alexandria. Energies are from PBE-GGA.

a = 7.3487 Å, b = 7.3487 Å, c = 7.3487 Å
α = 60.00°, β = 60.00°, γ = 60.00°
Last column: nearest neighbours and their distance in Å.
Atoms (fractional coordinates):
Ba  0.3730  0.3730  0.3730  6 Ba 3.62-3.73
Ba  0.8809  0.3730  0.3730  6 Ba 3.62-3.73
Ba  0.3730  0.8809  0.3730  6 Ba 3.62-3.73
Ba  0.3730  0.3730  0.8809  6 Ba 3.62-3.73
Ca  0.7500  0.7500  0.7500  12 Ba 4.31, 4 Si 4.50
Si  0.0000  0.0000  0.0000  12 Ba 4.30, 4 Ca 4.50

Results
**Calculated volume**: 46.8 Å³/atom
**Space-group type**: F-43m
**N(E_F)**: 1.465 states/eV/atom
**Energy**: -2.00 eV/atom

(4)
Here is crystalline BaCaSi2 at its relaxed geometry from Alexandria. Energies are from PBE-GGA.

a = 5.4559 Å, b = 5.4559 Å, c = 6.9261 Å
α = 63.32°, β = 63.32°, γ = 44.13°
Last column: nearest neighbours and their distance in Å.
Atoms (fractional coordinates):
Ca  0.7500  0.7500  0.7500  6 Si 2.94-3.07
Si  0.9986  0.9986  0.8551  2 Si 2.51
Si  0.5014  0.5014  0.6449  2 Si 2.51
Ba  0.2500  0.2500  0.2500  6 Si 3.37-3.70

Results
**Calculated volume**: 31.4 Å³/atom
**Space-group type**: C2/m
**N(E_F)**: 0.351 states/eV/atom
**Distance to the lowest polymorph of the same formula**: 110 meV/atom
**Energy**: -4.03 eV/atom

(5)
Here is crystalline BaCaSi2 at its relaxed geometry from Alexandria. Energies are from PBE-GGA.

a = 4.0194 Å, b = 4.7215 Å, c = 6.4465 Å
α = 68.50°, β = 90.00°, γ = 90.00°
Last column: nearest neighbours and their distance in Å.
Atoms (fractional coordinates):
Ba  0.0000  0.4790  0.4167  7 Si 3.31-3.51
Ca  0.5000  0.7496  0.8758  6 Si 3.15-3.17
Si  0.0000  0.1958  0.9837  2 Si 2.47
Si  0.5000  0.0756  0.2237  2 Si 2.47

Results
**Calculated volume**: 28.5 Å³/atom
**Space-group type**: Amm2
**N(E_F)**: 0.349 states/eV/atom
**Distance to the lowest polymorph of the same formula**: 0 meV/atom
**Energy**: -4.14 eV/atom

(6)
Here is crystalline BaCa2Si at its relaxed geometry from Alexandria. Energies are from PBE-GGA.

a = 6.0772 Å, b = 6.0772 Å, c = 6.0772 Å
α = 129.75°, β = 129.75°, γ = 73.80°
Last column: nearest neighbours and their distance in Å.
Atoms (fractional coordinates):
Si  0.5000  0.5000  0.0000  4 Ba 3.54, 8 Ca 3.54-3.65
Ba  0.7500  0.2500  0.5000  8 Ca 3.54-3.65, 4 Si 3.54
Ca  0.0000  0.0000  0.0000  4 Ca 3.54, 4 Ba 3.54, 4 Si 3.65
Ca  0.2500  0.7500  0.5000  4 Ca 3.54, 4 Si 3.54, 4 Ba 3.65

Results
**Calculated volume**: 32.4 Å³/atom
**Space-group type**: I-4m2
**N(E_F)**: 0.459 states/eV/atom
**Distance to the lowest polymorph of the same formula**: 167 meV/atom
**Energy**: -2.83 eV/atom

(7)
Here is crystalline BaCa2Si at its relaxed geometry from Alexandria. Energies are from PBE-GGA.

a = 5.5497 Å, b = 5.5497 Å, c = 5.5497 Å
α = 60.00°, β = 60.00°, γ = 60.00°
Last column: nearest neighbours and their distance in Å.
Atoms (fractional coordinates):
Ca  0.7500  0.7500  0.7500  4 Ba 3.40, 4 Si 3.40
Ca  0.2500  0.2500  0.2500  4 Ba 3.40, 4 Si 3.40
Si  0.0000  0.0000  0.0000  8 Ca 3.40
Ba  0.5000  0.5000  0.5000  8 Ca 3.40

Results
**Calculated volume**: 30.2 Å³/atom
**Space-group type**: Fm-3m
**N(E_F)**: 0.897 states/eV/atom
**Distance to the lowest polymorph of the same formula**: 256 meV/atom
**Energy**: -2.74 eV/atom

(8)
Here is crystalline BaCaSi2 at its relaxed geometry from Alexandria. Energies are from PBE-GGA.

a = 3.4072 Å, b = 5.4585 Å, c = 6.4230 Å
α = 90.00°, β = 90.00°, γ = 90.00°
Last column: nearest neighbours and their distance in Å.
Atoms (fractional coordinates):
Si  0.0000  0.0000  0.8749  2 Ba 3.21, 4 Ca 3.22, 2 Si 3.41
Si  0.5000  0.5000  0.3751  2 Ca 3.21, 4 Ba 3.22, 2 Si 3.41
Ba  0.0000  0.0000  0.3749  6 Si 3.21-3.22, 2 Ba 3.41
Ca  0.5000  0.5000  0.8751  6 Si 3.21-3.22, 2 Ca 3.41

Results
**Calculated volume**: 29.9 Å³/atom
**Space-group type**: Pmmm
**N(E_F)**: 0.984 states/eV/atom
**Distance to the lowest polymorph of the same formula**: 613 meV/atom
**Energy**: -3.52 eV/atom

(9)
Here is crystalline BaCaTa2Si at its relaxed geometry from Alexandria. Energies are from PBE-GGA.

a = 5.2422 Å, b = 5.5203 Å, c = 5.2422 Å
α = 90.00°, β = 90.00°, γ = 90.00°
Last column: nearest neighbours and their distance in Å.
Atoms (fractional coordinates):
Si  0.0000  0.5000  0.0000  2 Ba 2.76
Ba  0.0000  0.0000  0.0000  4 Ta 2.62, 2 Si 2.76
Ca  0.5000  0.5000  0.5000  4 Si 3.71, 8 Ta 3.81
Ta  0.0000  0.0000  0.5000  2 Ba 2.62
Ta  0.5000  0.0000  0.0000  2 Ba 2.62

Results
**Calculated volume**: 30.3 Å³/atom
**Space-group type**: P4/mmm
**N(E_F)**: 1.684 states/eV/atom
**Energy**: -4.32 eV/atom

(10)
Here is crystalline BaCa2SiW at its relaxed geometry from Alexandria. Energies are from PBE-GGA.

a = 5.6606 Å, b = 4.9018 Å, c = 5.6606 Å
α = 90.00°, β = 90.00°, γ = 90.00°
Last column: nearest neighbours and their distance in Å.
Atoms (fractional coordinates):
W  0.0000  0.5000  0.0000  2 Si 2.45
Ca  0.5000  0.0000  0.0000  2 Si 2.83
Ca  0.0000  0.0000  0.5000  2 Si 2.83
Ba  0.5000  0.5000  0.5000  8 Ca 3.74, 4 W 4.00
Si  0.0000  0.0000  0.0000  2 W 2.45

Results
**Calculated volume**: 31.4 Å³/atom
**Space-group type**: P4/mmm
**N(E_F)**: 1.003 states/eV/atom
**Energy**: -4.37 eV/atom

(11)
Here is crystalline BaCaZnSi at its relaxed geometry from Alexandria. Energies are from PBE-GGA.

a = 5.4552 Å, b = 5.4552 Å, c = 5.4552 Å
α = 60.00°, β = 60.00°, γ = 60.00°
Last column: nearest neighbours and their distance in Å.
Atoms (fractional coordinates):
Ba  0.0000  0.0000  0.0000  4 Zn 3.34, 4 Si 3.34
Zn  0.2500  0.2500  0.2500  4 Ba 3.34, 4 Ca 3.34
Si  0.7500  0.7500  0.7500  4 Ca 3.34, 4 Ba 3.34
Ca  0.5000  0.5000  0.5000  4 Si 3.34, 4 Zn 3.34

Results
**Calculated volume**: 28.7 Å³/atom
**Space-group type**: F-43m
**N(E_F)**: 0.273 states/eV/atom
**Energy**: -2.90 eV/atom

(12)
Here is crystalline Ba2CaSm at its relaxed geometry from Alexandria. Energies are from PBE-GGA.

a = 6.4673 Å, b = 6.4673 Å, c = 6.4673 Å
α = 60.00°, β = 60.00°, γ = 60.00°
Last column: nearest neighbours and their distance in Å.
Atoms (fractional coordinates):
Ba  0.2500  0.2500  0.2500  4 Sm 3.96, 4 Ca 3.96
Ba  0.7500  0.7500  0.7500  4 Ca 3.96, 4 Sm 3.96
Sm  0.0000  0.0000  0.0000  8 Ba 3.96
Ca  0.5000  0.5000  0.5000  8 Ba 3.96

Results
**Calculated volume**: 47.8 Å³/atom
**Space-group type**: Fm-3m
**ΔH_f (0 K)**: 4.3 kcal/mol of atoms
**N(E_F)**: 1.167 states/eV/atom
**Distance to the lowest polymorph of the same formula**: 23 meV/atom
**Energy**: -2.46 eV/atom

(13)
Here is crystalline Ba2CaSm at its relaxed geometry from Alexandria. Energies are from PBE-GGA.

a = 4.5197 Å, b = 6.4936 Å, c = 6.4936 Å
α = 90.00°, β = 90.00°, γ = 90.00°
Last column: nearest neighbours and their distance in Å.
Atoms (fractional coordinates):
Sm  0.5000  0.0000  0.0000  8 Ba 3.96
Ba  0.0000  0.5000  0.0000  4 Sm 3.96, 4 Ca 3.96
Ba  0.0000  0.0000  0.5000  4 Ca 3.96, 4 Sm 3.96
Ca  0.5000  0.5000  0.5000  8 Ba 3.96

Results
**Calculated volume**: 47.6 Å³/atom
**Space-group type**: P4/mmm
**ΔH_f (0 K)**: 4.1 kcal/mol of atoms
**N(E_F)**: 1.159 states/eV/atom
**Distance to the lowest polymorph of the same formula**: 18 meV/atom
**Energy**: -2.46 eV/atom

(14)
Here is crystalline BaCaSm at its relaxed geometry from Alexandria. Energies are from PBE-GGA.

a = 3.9100 Å, b = 3.9100 Å, c = 9.7603 Å
α = 90.00°, β = 90.00°, γ = 120.00°
Last column: nearest neighbours and their distance in Å.
Atoms (fractional coordinates):
Ca  0.3333  0.6667  0.6493  3 Sm 3.74, 6 Ca 3.91, 3 Ba 4.16
Ba  0.0000  0.0000  0.0074  6 Ba 3.91, 3 Sm 3.98, 3 Ca 4.16
Sm  0.6667  0.3333  0.3433  3 Ca 3.74, 6 Sm 3.91, 3 Ba 3.98

Results
**Calculated volume**: 43.1 Å³/atom
**Space-group type**: P3m1
**ΔH_f (0 K)**: 3.6 kcal/mol of atoms
**N(E_F)**: 1.612 states/eV/atom
**Distance to the lowest polymorph of the same formula**: 0 meV/atom
**Energy**: -2.73 eV/atom

(15)
Here is crystalline BaCaSm at its relaxed geometry from Alexandria. Energies are from PBE-GGA.

a = 3.9524 Å, b = 3.9524 Å, c = 8.8618 Å
α = 102.89°, β = 102.89°, γ = 90.00°
Last column: nearest neighbours and their distance in Å.
Atoms (fractional coordinates):
Ba  0.9940  0.9940  0.9880  4 Ba 3.95, 4 Sm 3.97, 4 Ca 4.19
Ca  0.6795  0.6795  0.3590  4 Sm 3.73, 4 Ca 3.95
Sm  0.3265  0.3265  0.6531  4 Ca 3.73, 4 Sm 3.95, 4 Ba 3.97

Results
**Calculated volume**: 43.8 Å³/atom
**Space-group type**: I4mm
**ΔH_f (0 K)**: 3.7 kcal/mol of atoms
**N(E_F)**: 1.944 states/eV/atom
**Distance to the lowest polymorph of the same formula**: 5 meV/atom
**Energy**: -2.72 eV/atom

(16)
Here is crystalline BaCa4Sm at its relaxed geometry from Alexandria. Energies are from PBE-GGA.

a = 7.2697 Å, b = 7.2697 Å, c = 7.2697 Å
α = 60.00°, β = 60.00°, γ = 60.00°
Last column: nearest neighbours and their distance in Å.
Atoms (fractional coordinates):
Sm  0.0000  0.0000  0.0000  12 Ca 4.26, 4 Ba 4.45
Ca  0.6261  0.1217  0.6261  6 Ca 3.60-3.67
Ca  0.1217  0.6261  0.6261  6 Ca 3.60-3.67
Ca  0.6261  0.6261  0.1217  6 Ca 3.60-3.67
Ca  0.6261  0.6261  0.6261  6 Ca 3.60-3.67
Ba  0.2500  0.2500  0.2500  12 Ca 4.27, 4 Sm 4.45

Results
**Calculated volume**: 45.3 Å³/atom
**Space-group type**: F-43m
**ΔH_f (0 K)**: 4.6 kcal/mol of atoms
**N(E_F)**: 1.678 states/eV/atom
**Energy**: -2.24 eV/atom

(17)
Here is crystalline BaCaSm4 at its relaxed geometry from Alexandria. Energies are from PBE-GGA.

a = 6.9995 Å, b = 6.9995 Å, c = 6.9995 Å
α = 60.00°, β = 60.00°, γ = 60.00°
Last column: nearest neighbours and their distance in Å.
Atoms (fractional coordinates):
Sm  0.6271  0.6271  0.6271  6 Sm 3.44-3.56
Sm  0.6271  0.1186  0.6271  6 Sm 3.44-3.56
Sm  0.1186  0.6271  0.6271  6 Sm 3.44-3.56
Sm  0.6271  0.6271  0.1186  6 Sm 3.44-3.56
Ba  0.2500  0.2500  0.2500  12 Sm 4.11, 4 Ca 4.29
Ca  0.0000  0.0000  0.0000  12 Sm 4.10, 4 Ba 4.29

Results
**Calculated volume**: 40.4 Å³/atom
**Space-group type**: F-43m
**ΔH_f (0 K)**: 5.2 kcal/mol of atoms
**N(E_F)**: 1.792 states/eV/atom
**Energy**: -3.58 eV/atom

(18)
Here is crystalline Ba2CaSm at its relaxed geometry from Alexandria. Energies are from PBE-GGA.

a = 4.0313 Å, b = 4.0313 Å, c = 11.7732 Å
α = 90.00°, β = 90.00°, γ = 90.00°
Last column: nearest neighbours and their distance in Å.
Atoms (fractional coordinates):
Sm  0.5000  0.5000  0.0000  8 Ba 3.99, 4 Sm 4.03
Ca  0.5000  0.5000  0.5000  4 Ca 4.03, 8 Ba 4.21
Ba  0.0000  0.0000  0.7627  4 Sm 3.99, 4 Ba 4.03, 4 Ca 4.21
Ba  0.0000  0.0000  0.2373  4 Sm 3.99, 4 Ba 4.03, 4 Ca 4.21

Results
**Calculated volume**: 47.8 Å³/atom
**Space-group type**: P4/mmm
**ΔH_f (0 K)**: 3.7 kcal/mol of atoms
**N(E_F)**: 1.884 states/eV/atom
**Distance to the lowest polymorph of the same formula**: 0 meV/atom
**Energy**: -2.48 eV/atom

(19)
Here is crystalline Ba2CaSm at its relaxed geometry from Alexandria. Energies are from PBE-GGA.

a = 4.0261 Å, b = 4.0261 Å, c = 13.5951 Å
α = 81.48°, β = 81.48°, γ = 60.00°
Last column: nearest neighbours and their distance in Å.
Atoms (fractional coordinates):
Ba  0.0802  0.0802  0.7593  3 Sm 3.98, 6 Ba 4.03, 3 Ca 4.18
Ba  0.2531  0.2531  0.2408  3 Sm 3.97, 6 Ba 4.03, 3 Ca 4.17
Ca  0.5001  0.5001  0.4996  6 Ca 4.03, 6 Ba 4.17-4.18
Sm  0.6666  0.6666  0.0003  6 Ba 3.97-3.98, 6 Sm 4.03

Results
**Calculated volume**: 47.0 Å³/atom
**Space-group type**: R3m
**ΔH_f (0 K)**: 3.7 kcal/mol of atoms
**N(E_F)**: 1.522 states/eV/atom
**Distance to the lowest polymorph of the same formula**: 1 meV/atom
**Energy**: -2.48 eV/atom

(20)
Here is crystalline BaCaSm2 at its relaxed geometry from Alexandria. Energies are from PBE-GGA.

a = 3.7154 Å, b = 3.7154 Å, c = 13.6359 Å
α = 82.17°, β = 82.17°, γ = 60.00°
Last column: nearest neighbours and their distance in Å.
Atoms (fractional coordinates):
Ba  0.0000  0.0000  0.0000  2 Sm 3.64, 6 Ba 3.72
Ca  0.5000  0.5000  0.5000  6 Ca 3.72, 6 Sm 3.76
Sm  0.0902  0.0902  0.7294  1 Ba 3.64, 6 Sm 3.72, 3 Ca 3.76
Sm  0.9098  0.9098  0.2706  1 Ba 3.64, 6 Sm 3.72, 3 Ca 3.76

Results
**Calculated volume**: 40.2 Å³/atom
**Space-group type**: R-3m
**ΔH_f (0 K)**: 6.8 kcal/mol of atoms
**N(E_F)**: 1.886 states/eV/atom
**Energy**: -3.05 eV/atom